*a*
TaTiTeN2: relaxed, PBE.

Cell: 3.965 3.965 5.388 Å, 90.00 90.00 90.00°
Space group P4/mmm (No. 123)
Symmetry-distinct sites (fractional):
Ta: 0.000 0.000 0.000 (multiplicity 1)
Ti: 0.500 0.500 0.500 (multiplicity 1)
Te: 0.500 0.500 0.000 (multiplicity 1)
N: 0.000 0.500 0.500 (multiplicity 2)

**ρ**: 7.53 g cm⁻³
**Density of states at the Fermi level**: 0.733 states/eV per atom



*b*
TaTiTeN2: relaxed, PBE.

Cell: 4.026 4.026 5.644 Å, 90.00 90.00 90.00°
Space group P4/mmm (No. 123)
Symmetry-distinct sites (fractional):
Ta: 0.000 0.000 0.000 (multiplicity 1)
Ti: 0.500 0.500 0.500 (multiplicity 1)
Te: 0.000 0.000 0.500 (multiplicity 1)
N: 0.000 0.500 0.000 (multiplicity 2)

**ρ**: 6.98 g cm⁻³
**Density of states at the Fermi level**: 0.982 states/eV per atom



Comparing the structures above, *b* comes out on top by 0.496 eV/atom.